# CrCuAsSe2, relaxed, DFT GGA-PBE
data_CrCuAsSe2
_cell_length_a 4.690
_cell_length_b 4.690
_cell_length_c 4.695
_cell_angle_alpha 90.00
_cell_angle_beta 90.00
_cell_angle_gamma 90.00
_symmetry_space_group_name_H-M 'P 4/m m m'
_symmetry_Int_Tables_number 123
_symmetry_space_group_name_Hall '-P 4 2'
loop_
_atom_site_label
_atom_site_type_symbol
_atom_site_fract_x
_atom_site_fract_y
_atom_site_fract_z
Cr1 Cr 0.000 0.000 0.000
Cu1 Cu 0.500 0.500 0.500
As1 As 0.000 0.000 0.500
Se1 Se 0.000 0.500 0.000
# - Energy relative to the elements, uncorrected: 2.787 eV per formula unit
# - Magnetization: 0.0 μB/cell
# - Offset from the most stable computed form: 0.000 eV/f.u.
# - DOS at the Fermi energy: 5.39 states/eV/f.u.